# 1
Crystalline Ca4MnAg at its relaxed geometry. Source: Alexandria, functional PBE.

Lattice parameters (Å, degrees): 6.626 6.626 6.626 60.00 60.00 60.00
Positions (direct):
Ca1 0.874 0.375 0.375
Ca2 0.375 0.375 0.874
Ca3 0.375 0.874 0.375
Ca4 0.375 0.375 0.375
Mn1 0.750 0.750 0.750
Ag1 0.000 0.000 0.000

Values from the calculation:
Its space-group type is F-43m, No. 216. For the energy of formation, the calculation gives 0.670 eV per atom. Its calculated total energy is -2.67 eV/atom.

---

# 2
Crystalline Ca2MnAgN at its relaxed geometry. Source: Alexandria, functional PBE.

Lattice parameters (Å, degrees): 5.078 5.078 3.804 90.00 90.00 90.00
Positions (direct):
Ca1 0.000 0.500 0.000
Ca2 0.500 0.000 0.000
Mn1 0.000 0.000 0.500
Ag1 0.500 0.500 0.500
N1 0.000 0.000 0.000

Values from the calculation:
For the energy relative to the elements, uncorrected, the calculation gives -0.43 eV/atom. Its space-group type is P4/mmm, No. 123. Its calculated total energy is -5.30 eV/atom.